DFT (PBE) results for crystalline TmTh2Hg at its relaxed geometry.

Calculated values
ΔH_f (0 K): 0.63 eV per formula unit
E: -4.747 eV/atom
distance to the lowest polymorph of the same formula: 229.9 meV/atom

Structure (POSCAR):
```
TmTh2Hg
1.0
3.397 0.000 0.000
1.698 2.942 0.000
1.698 0.981 12.103
Th Tm Hg
2 1 1
direct
0.909 0.909 0.274
0.091 0.091 0.726
0.000 0.000 0.000
0.500 0.500 0.500
```